Record 1
Material: MgMn5
Method: DFT, PBE-GGA
State: optimized geometry Values from VASP.

Results
Theoretical density in g/cm3: 6.3
DFT total energy in eV per cell: -46.0

Structure (Quantum ESPRESSO input):
```
&SYSTEM
  ibrav = 0, nat = 6, ntyp = 2
/
ATOMIC_SPECIES
Mg 24.30 Mg.upf
Mn 54.94 Mn.upf
CELL_PARAMETERS angstrom
1.987 -5.681 0.000
1.987 5.681 0.000
0.000 0.000 3.494
ATOMIC_POSITIONS angstrom
Mg 1.987 0.000 0.000
Mn 1.987 2.008 1.747
Mn 1.987 3.749 0.000
Mn 0.000 0.000 1.747
Mn 1.987 -3.749 0.000
Mn 1.987 -2.008 1.747
```

***

Record 2
Material: NaTiAlFe2
Method: DFT, PBE-GGA
State: optimized geometry Values from VASP.

Results
Theoretical density in g/cm3: 3.5
DFT total energy in eV per cell: -25.4

Structure (Quantum ESPRESSO input):
```
&SYSTEM
  ibrav = 0, nat = 5, ntyp = 4
/
ATOMIC_SPECIES
Na 22.99 Na.upf
Al 26.98 Al.upf
Fe 55.84 Fe.upf
Ti 47.87 Ti.upf
CELL_PARAMETERS angstrom
4.432 0.000 0.000
0.000 5.106 0.000
0.000 0.000 4.432
ATOMIC_POSITIONS angstrom
Na 2.216 2.553 2.216
Al 0.000 2.553 0.000
Fe 0.000 0.000 2.216
Fe 2.216 0.000 0.000
Ti 0.000 0.000 0.000
```

***

Record 3
Material: KZr2Rh
Method: DFT, PBE-GGA
State: optimized geometry Values from VASP.

Results
Theoretical density in g/cm3: 6.1
DFT total energy in eV per cell: -23.1

Structure (Quantum ESPRESSO input):
```
&SYSTEM
  ibrav = 0, nat = 4, ntyp = 3
/
ATOMIC_SPECIES
K 39.10 K.upf
Rh 102.91 Rh.upf
Zr 91.22 Zr.upf
CELL_PARAMETERS angstrom
6.023 0.001 0.000
-2.763 5.351 0.000
0.687 1.128 2.721
ATOMIC_POSITIONS angstrom
K 3.355 0.564 1.360
Rh -1.038 3.239 1.360
Zr 0.000 0.000 0.000
Zr 1.630 2.676 0.000
```

***

Record 4
Material: LiZrScSi
Method: DFT, PBE-GGA
State: optimized geometry Values from VASP.

Results
Theoretical density in g/cm3: 4.0
DFT total energy in eV per cell: -23.7
ΔE_f (raw) in eV per atom: -0.363

Structure (Quantum ESPRESSO input):
```
&SYSTEM
  ibrav = 0, nat = 4, ntyp = 4
/
ATOMIC_SPECIES
Sc 44.96 Sc.upf
Si 28.09 Si.upf
Zr 91.22 Zr.upf
Li 6.94 Li.upf
CELL_PARAMETERS angstrom
4.640 0.000 0.000
2.320 4.018 0.000
2.320 1.339 3.788
ATOMIC_POSITIONS angstrom
Sc 0.000 0.000 0.000
Si 6.960 4.018 2.841
Zr 4.640 2.679 1.894
Li 2.320 1.339 0.947
```

***

- Which of these has the lowest DFT total energy?
  MgMn5

***

- Which formula does entry 2 have?
  NaTiAlFe2

***

What did the fourth record say?
Material: LiZrScSi
Method: DFT, PBE-GGA
State: optimized geometry Values from VASP.

Results
Theoretical density in g/cm3: 4.0
DFT total energy in eV per cell: -23.7
ΔE_f (raw) in eV per atom: -0.363

Structure (Quantum ESPRESSO input):
```
&SYSTEM
  ibrav = 0, nat = 4, ntyp = 4
/
ATOMIC_SPECIES
Sc 44.96 Sc.upf
Si 28.09 Si.upf
Zr 91.22 Zr.upf
Li 6.94 Li.upf
CELL_PARAMETERS angstrom
4.640 0.000 0.000
2.320 4.018 0.000
2.320 1.339 3.788
ATOMIC_POSITIONS angstrom
Sc 0.000 0.000 0.000
Si 6.960 4.018 2.841
Zr 4.640 2.679 1.894
Li 2.320 1.339 0.947
```

***

- The lowest theoretical density belongs to which entry?
  NaTiAlFe2